{"formula": "PIr2", "functional": "PBE", "state": "relaxed", "lattice": [[1.435, 5.197, 0.013], [-1.435, 5.197, 0.013], [0.000, 2.104, 5.723]], "species": ["P", "P", "Ir", "Ir", "Ir", "Ir"], "frac_coords": [[0.701, 0.701, 0.332], [0.299, 0.299, 0.668], [0.077, 0.077, 0.640], [0.367, 0.367, 0.989], [0.633, 0.633, 0.011], [0.923, 0.923, 0.360]], "sg": "C2/m (12)", "delta_e_f_mev_per_atom": -153}